[1]
Computed, not measured: a geometry-optimized CsBa2SnBr8 structure at the PBE-GGA level of DFT.

Unit cell a=7.213 b=10.111 c=7.244 alpha=90.00 beta=90.34 gamma=90.00
Sites, in units of the cell vectors:
Cs 0.000 0.000 0.000
Ba 0.500 0.255 0.500
Ba 0.500 0.745 0.500
Sn 0.000 0.500 0.000
Br 0.142 0.302 0.769
Br 0.142 0.698 0.769
Br 0.328 0.500 0.233
Br 0.408 0.000 0.257
Br 0.592 0.000 0.743
Br 0.672 0.500 0.767
Br 0.858 0.302 0.231
Br 0.858 0.698 0.231

Computed properties:
Formation energy without anion corrections in kJ/mol of formula units: -1794
SG: No. 10

---

[2]
Computed, not measured: a geometry-optimized Cs2BaSrBr6 structure at the PBE-GGA level of DFT.

Unit cell a=8.423 b=8.781 c=14.718 alpha=90.00 beta=124.73 gamma=90.00
Sites, in units of the cell vectors:
Cs 0.229 0.063 0.250
Cs 0.229 0.437 0.750
Cs 0.771 0.563 0.250
Cs 0.771 0.937 0.750
Ba 0.500 0.000 0.000
Ba 0.500 0.500 0.500
Sr 0.000 0.000 0.500
Sr 0.000 0.500 0.000
Br 0.144 0.213 0.949
Br 0.144 0.287 0.449
Br 0.242 0.700 0.951
Br 0.242 0.800 0.451
Br 0.339 0.030 0.743
Br 0.339 0.470 0.243
Br 0.661 0.530 0.757
Br 0.661 0.970 0.257
Br 0.758 0.200 0.549
Br 0.758 0.300 0.049
Br 0.856 0.713 0.551
Br 0.856 0.787 0.051

Computed properties:
Formation energy without anion corrections in kJ/mol of formula units: -1952
SG: No. 14
Distance to the lowest polymorph of the same formula in eV per formula unit: 0.000

---

[3]
Computed, not measured: a geometry-optimized Cs2BaSrBr6 structure at the PBE-GGA level of DFT.

Unit cell a=8.739 b=8.739 c=8.739 alpha=60.00 beta=60.00 gamma=60.00
Sites, in units of the cell vectors:
Cs 0.250 0.250 0.250
Cs 0.750 0.750 0.750
Ba 0.000 0.000 0.000
Sr 0.500 0.500 0.500
Br 0.256 0.256 0.744
Br 0.256 0.744 0.256
Br 0.256 0.744 0.744
Br 0.744 0.256 0.256
Br 0.744 0.256 0.744
Br 0.744 0.744 0.256

Computed properties:
Formation energy without anion corrections in kJ/mol of formula units: -1920
SG: No. 225
Distance to the lowest polymorph of the same formula in eV per formula unit: 0.331

---

[4]
Computed, not measured: a geometry-optimized CsBa2TbBr8 structure at the PBE-GGA level of DFT.

Unit cell a=7.208 b=7.324 c=10.103 alpha=90.01 beta=90.03 gamma=90.15
Sites, in units of the cell vectors:
Cs 0.000 0.000 0.000
Ba 0.500 0.500 0.254
Ba 0.500 0.500 0.746
Tb 0.000 0.000 0.500
Br 0.228 0.850 0.301
Br 0.228 0.851 0.699
Br 0.240 0.318 0.500
Br 0.258 0.400 0.000
Br 0.742 0.600 0.000
Br 0.760 0.682 0.500
Br 0.772 0.149 0.301
Br 0.772 0.150 0.699

Computed properties:
Formation energy without anion corrections in kJ/mol of formula units: -2304
SG: No. 2

---

[5]
Computed, not measured: a geometry-optimized Cs2BaTcBr6 structure at the PBE-GGA level of DFT.

Unit cell a=8.115 b=8.115 c=8.115 alpha=60.00 beta=60.00 gamma=60.00
Sites, in units of the cell vectors:
Cs 0.250 0.250 0.250
Cs 0.750 0.750 0.750
Ba 0.000 0.000 0.000
Tc 0.500 0.500 0.500
Br 0.274 0.274 0.726
Br 0.274 0.726 0.274
Br 0.274 0.726 0.726
Br 0.726 0.274 0.274
Br 0.726 0.274 0.726
Br 0.726 0.726 0.274

Computed properties:
Formation energy without anion corrections in kJ/mol of formula units: -1240
SG: No. 225

---

[6]
Computed, not measured: a geometry-optimized CsBaTeBr structure at the PBE-GGA level of DFT.

Unit cell a=8.536 b=4.931 c=9.580 alpha=90.00 beta=107.24 gamma=90.00
Sites, in units of the cell vectors:
Cs 0.000 0.000 0.000
Cs 0.500 0.500 0.000
Ba 0.175 0.000 0.524
Ba 0.675 0.500 0.524
Te 0.076 0.500 0.728
Te 0.576 0.000 0.728
Br 0.428 0.000 0.283
Br 0.928 0.500 0.283

Computed properties:
Formation energy without anion corrections in kJ/mol of formula units: -635
SG: No. 8

---

[7]
Computed, not measured: a geometry-optimized Cs2BaTeBr6 structure at the PBE-GGA level of DFT.

Unit cell a=9.295 b=9.295 c=9.295 alpha=126.64 beta=126.64 gamma=78.83
Sites, in units of the cell vectors:
Cs 0.250 0.750 0.500
Cs 0.750 0.250 0.500
Ba 0.000 0.000 0.000
Te 0.500 0.500 0.000
Br 0.219 0.219 0.000
Br 0.268 0.268 0.536
Br 0.268 0.732 0.000
Br 0.732 0.268 0.000
Br 0.732 0.732 0.464
Br 0.781 0.781 0.000

Computed properties:
Formation energy without anion corrections in kJ/mol of formula units: -1304
SG: No. 139

---

[8]
Computed, not measured: a geometry-optimized CsBaTi2Br8 structure at the PBE-GGA level of DFT.

Unit cell a=7.251 b=7.251 c=11.077 alpha=90.00 beta=90.00 gamma=120.00
Sites, in units of the cell vectors:
Cs 0.000 0.000 0.000
Ba 0.000 0.000 0.500
Ti 0.333 0.667 0.761
Ti 0.667 0.333 0.239
Br 0.001 0.341 0.691
Br 0.333 0.667 0.982
Br 0.340 0.999 0.691
Br 0.341 0.340 0.309
Br 0.659 0.660 0.691
Br 0.660 0.001 0.309
Br 0.667 0.333 0.018
Br 0.999 0.659 0.309

Computed properties:
Formation energy without anion corrections in kJ/mol of formula units: -1647
SG: No. 147

---

[9]
Computed, not measured: a geometry-optimized Cs2BaTiBr6 structure at the PBE-GGA level of DFT.

Unit cell a=8.259 b=8.259 c=8.259 alpha=60.00 beta=60.00 gamma=60.00
Sites, in units of the cell vectors:
Cs 0.250 0.250 0.250
Cs 0.750 0.750 0.750
Ba 0.000 0.000 0.000
Ti 0.500 0.500 0.500
Br 0.270 0.270 0.730
Br 0.270 0.730 0.270
Br 0.270 0.730 0.730
Br 0.730 0.270 0.270
Br 0.730 0.270 0.730
Br 0.730 0.730 0.270

Computed properties:
Formation energy without anion corrections in kJ/mol of formula units: -1587
SG: No. 225

---

[10]
Computed, not measured: a geometry-optimized Cs2BaTlBr5 structure at the PBE-GGA level of DFT.

Unit cell a=10.741 b=10.741 c=16.202 alpha=90.00 beta=90.00 gamma=153.09
Sites, in units of the cell vectors:
Cs 0.086 0.914 0.500
Cs 0.132 0.868 0.135
Cs 0.868 0.132 0.635
Cs 0.914 0.086 0.000
Ba 0.225 0.775 0.862
Ba 0.775 0.225 0.362
Tl 0.461 0.539 0.292
Tl 0.539 0.461 0.792
Br 0.076 0.924 0.909
Br 0.263 0.737 0.495
Br 0.301 0.699 0.236
Br 0.377 0.623 0.829
Br 0.495 0.505 0.606
Br 0.505 0.495 0.106
Br 0.623 0.377 0.329
Br 0.699 0.301 0.736
Br 0.737 0.263 0.995
Br 0.924 0.076 0.409

Computed properties:
Formation energy without anion corrections in kJ/mol of formula units: -1473
SG: No. 36

---

[11]
Computed, not measured: a geometry-optimized CsBaTlBr6 structure at the PBE-GGA level of DFT.

Unit cell a=8.038 b=8.038 c=15.165 alpha=90.00 beta=90.00 gamma=120.00
Sites, in units of the cell vectors:
Cs 0.000 0.000 0.000
Cs 0.000 0.000 0.500
Ba 0.333 0.667 0.250
Ba 0.667 0.333 0.750
Tl 0.333 0.667 0.750
Tl 0.667 0.333 0.250
Br 0.042 0.393 0.641
Br 0.042 0.649 0.859
Br 0.351 0.393 0.859
Br 0.351 0.958 0.641
Br 0.393 0.042 0.141
Br 0.393 0.351 0.359
Br 0.607 0.649 0.641
Br 0.607 0.958 0.859
Br 0.649 0.042 0.359
Br 0.649 0.607 0.141
Br 0.958 0.351 0.141
Br 0.958 0.607 0.359

Computed properties:
Formation energy without anion corrections in kJ/mol of formula units: -1158
SG: No. 163

---

[12]
Computed, not measured: a geometry-optimized CsBaTmBr6 structure at the PBE-GGA level of DFT.

Unit cell a=8.025 b=8.025 c=15.086 alpha=90.00 beta=90.00 gamma=120.00
Sites, in units of the cell vectors:
Cs 0.000 0.000 0.000
Cs 0.000 0.000 0.500
Ba 0.333 0.667 0.250
Ba 0.667 0.333 0.750
Tm 0.333 0.667 0.750
Tm 0.667 0.333 0.250
Br 0.043 0.395 0.642
Br 0.043 0.648 0.858
Br 0.352 0.395 0.858
Br 0.352 0.957 0.642
Br 0.395 0.043 0.142
Br 0.395 0.352 0.358
Br 0.605 0.648 0.642
Br 0.605 0.957 0.858
Br 0.648 0.043 0.358
Br 0.648 0.605 0.142
Br 0.957 0.352 0.142
Br 0.957 0.605 0.358

Computed properties:
Formation energy without anion corrections in kJ/mol of formula units: -1719
SG: No. 163

---

[13]
Computed, not measured: a geometry-optimized Cs2BaTmBr6 structure at the PBE-GGA level of DFT.

Unit cell a=8.142 b=11.950 c=8.807 alpha=90.00 beta=90.00 gamma=90.00
Sites, in units of the cell vectors:
Cs 0.250 0.019 0.217
Cs 0.250 0.481 0.217
Cs 0.750 0.519 0.783
Cs 0.750 0.981 0.783
Ba 0.250 0.250 0.725
Ba 0.750 0.750 0.275
Tm 0.250 0.750 0.772
Tm 0.750 0.250 0.228
Br 0.007 0.750 0.550
Br 0.013 0.750 0.002
Br 0.250 0.516 0.771
Br 0.250 0.984 0.771
Br 0.487 0.750 0.002
Br 0.493 0.750 0.550
Br 0.507 0.250 0.450
Br 0.513 0.250 0.998
Br 0.750 0.016 0.229
Br 0.750 0.484 0.229
Br 0.987 0.250 0.998
Br 0.993 0.250 0.450

Computed properties:
Formation energy without anion corrections in kJ/mol of formula units: -1711
SG: No. 59

---

[14]
Computed, not measured: a geometry-optimized CsBa2TmBr8 structure at the PBE-GGA level of DFT.

Unit cell a=7.173 b=7.264 c=10.078 alpha=90.02 beta=90.06 gamma=90.16
Sites, in units of the cell vectors:
Cs 0.000 0.000 0.000
Ba 0.500 0.500 0.255
Ba 0.500 0.500 0.745
Tm 0.000 0.000 0.500
Br 0.225 0.852 0.304
Br 0.226 0.853 0.696
Br 0.235 0.316 0.500
Br 0.257 0.404 0.000
Br 0.743 0.596 0.000
Br 0.765 0.684 0.500
Br 0.774 0.147 0.304
Br 0.775 0.148 0.696

Computed properties:
Formation energy without anion corrections in kJ/mol of formula units: -2294
SG: No. 2

---

[15]
Computed, not measured: a geometry-optimized CsBaUBr6 structure at the PBE-GGA level of DFT.

Unit cell a=8.181 b=8.181 c=15.167 alpha=90.00 beta=90.00 gamma=120.00
Sites, in units of the cell vectors:
Cs 0.000 0.000 0.000
Cs 0.000 0.000 0.500
Ba 0.333 0.667 0.250
Ba 0.667 0.333 0.750
U 0.333 0.667 0.750
U 0.667 0.333 0.250
Br 0.030 0.388 0.639
Br 0.030 0.642 0.861
Br 0.358 0.388 0.861
Br 0.358 0.970 0.639
Br 0.388 0.030 0.139
Br 0.388 0.358 0.361
Br 0.612 0.642 0.639
Br 0.612 0.970 0.861
Br 0.642 0.030 0.361
Br 0.642 0.612 0.139
Br 0.970 0.358 0.139
Br 0.970 0.612 0.361

Computed properties:
Formation energy without anion corrections in kJ/mol of formula units: -1486
SG: No. 163

---

[16]
Computed, not measured: a geometry-optimized Cs2BaVBr6 structure at the PBE-GGA level of DFT.

Unit cell a=8.207 b=11.609 c=8.213 alpha=90.00 beta=90.00 gamma=90.00
Sites, in units of the cell vectors:
Cs 0.250 0.000 0.249
Cs 0.250 0.500 0.249
Cs 0.750 0.000 0.751
Cs 0.750 0.500 0.751
Ba 0.250 0.250 0.749
Ba 0.750 0.750 0.251
V 0.250 0.750 0.750
V 0.750 0.250 0.250
Br 0.022 0.750 0.523
Br 0.022 0.750 0.978
Br 0.250 0.522 0.751
Br 0.250 0.978 0.751
Br 0.478 0.750 0.523
Br 0.478 0.750 0.978
Br 0.522 0.250 0.022
Br 0.522 0.250 0.477
Br 0.750 0.022 0.249
Br 0.750 0.478 0.249
Br 0.978 0.250 0.022
Br 0.978 0.250 0.477

Computed properties:
Formation energy without anion corrections in kJ/mol of formula units: -1533
SG: No. 59

---

[17]
Computed, not measured: a geometry-optimized CsBaYBr6 structure at the PBE-GGA level of DFT.

Unit cell a=8.070 b=8.070 c=15.068 alpha=90.00 beta=90.00 gamma=120.00
Sites, in units of the cell vectors:
Cs 0.000 0.000 0.000
Cs 0.000 0.000 0.500
Ba 0.333 0.667 0.250
Ba 0.667 0.333 0.750
Y 0.333 0.667 0.750
Y 0.667 0.333 0.250
Br 0.039 0.394 0.640
Br 0.039 0.646 0.860
Br 0.354 0.394 0.860
Br 0.354 0.961 0.640
Br 0.394 0.039 0.140
Br 0.394 0.354 0.360
Br 0.606 0.646 0.640
Br 0.606 0.961 0.860
Br 0.646 0.039 0.360
Br 0.646 0.606 0.140
Br 0.961 0.354 0.140
Br 0.961 0.606 0.360

Computed properties:
Formation energy without anion corrections in kJ/mol of formula units: -1725
SG: No. 163

---

[18]
Computed, not measured: a geometry-optimized CsBa2YBr8 structure at the PBE-GGA level of DFT.

Unit cell a=7.201 b=10.096 c=7.302 alpha=90.00 beta=90.15 gamma=90.00
Sites, in units of the cell vectors:
Cs 0.000 0.000 0.000
Ba 0.500 0.254 0.500
Ba 0.500 0.746 0.500
Y 0.000 0.500 0.000
Br 0.228 0.302 0.852
Br 0.228 0.698 0.852
Br 0.238 0.500 0.319
Br 0.258 0.000 0.402
Br 0.742 0.000 0.598
Br 0.762 0.500 0.681
Br 0.772 0.302 0.148
Br 0.772 0.698 0.148

Computed properties:
Formation energy without anion corrections in kJ/mol of formula units: -2303
SG: No. 10

---

[19]
Computed, not measured: a geometry-optimized Cs2BaZnBr6 structure at the PBE-GGA level of DFT.

Unit cell a=8.223 b=8.223 c=8.223 alpha=60.00 beta=60.00 gamma=60.00
Sites, in units of the cell vectors:
Cs 0.250 0.250 0.250
Cs 0.750 0.750 0.750
Ba 0.000 0.000 0.000
Zn 0.500 0.500 0.500
Br 0.272 0.272 0.728
Br 0.272 0.728 0.272
Br 0.272 0.728 0.728
Br 0.728 0.272 0.272
Br 0.728 0.272 0.728
Br 0.728 0.728 0.272

Computed properties:
Formation energy without anion corrections in kJ/mol of formula units: -1530
SG: No. 225